Material: Pr7CBr12
Method: DFT, PBE
State: optimized geometry

```
data_Pr7CBr12
_cell_length_a 9.3497
_cell_length_b 9.3497
_cell_length_c 9.3497
_cell_angle_alpha 107.54
_cell_angle_beta 107.54
_cell_angle_gamma 107.54
_space_group_name_H-M_alt 'P 1'
_space_group_IT_number 1
loop_
_space_group_symop_operation_xyz
'x,y,z'
loop_
_atom_site_label
_atom_site_type_symbol
_atom_site_fract_x
_atom_site_fract_y
_atom_site_fract_z
Pr1 Pr 0.0000 0.0000 0.0000
Pr2 Pr 0.1937 0.4684 0.3958
Pr3 Pr 0.3958 0.1937 0.4684
Pr4 Pr 0.4684 0.3958 0.1937
Pr5 Pr 0.5316 0.6042 0.8063
Pr6 Pr 0.6042 0.8063 0.5316
Pr7 Pr 0.8063 0.5316 0.6042
C1 C 0.5000 0.5000 0.5000
Br1 Br 0.0292 0.1125 0.3460
Br2 Br 0.1125 0.3460 0.0292
Br3 Br 0.1877 0.5783 0.7268
Br4 Br 0.2732 0.8123 0.4217
Br5 Br 0.3460 0.0292 0.1125
Br6 Br 0.4217 0.2732 0.8123
Br7 Br 0.5783 0.7268 0.1877
Br8 Br 0.6540 0.9708 0.8875
Br9 Br 0.7268 0.1877 0.5783
Br10 Br 0.8123 0.4217 0.2732
Br11 Br 0.8875 0.6540 0.9708
Br12 Br 0.9708 0.8875 0.6540
```

Calculated values
As for the crystal system: trigonal. Its symmetry is R-3. As for the uncorrected formation energy: -1605 meV per atom. The total DFT energy (no corrections) is -4.743 eV per atom. As for the size of the total moment: 0.035 μB/atom.